Computed, not measured: a relaxed Pr2TePb crystal at the PBE level of DFT.

volume	271	Å³ per cell
excess energy over the best structure of this formula in the dataset	0	meV per atom
ρ	7.56	g/cm³
formation energy without anion corrections	-1.0618	eV/atom
magnetization	0.00	Bohr magnetons per cell
space-group type	I4_1/amd (141)

```
8
Lattice="-3.232 3.232 6.486 3.232 -3.232 6.486 3.232 3.232 -6.486" Properties=species:S:1:pos:R:3 pbc="T T T"
Pr 3.232 1.616 -1.629
Pr 0.000 1.616 1.614
Pr 3.232 1.616 4.872
Pr 0.000 1.616 8.116
Te 3.232 1.616 1.622
Te 0.000 1.616 4.865
Pb 3.232 -1.616 4.865
Pb 0.000 4.848 1.622
```